# 1
Entry from the Alexandria database: a relaxed In12Ge3S5 crystal (PBE).

CIF file:
```
data_In12Ge3S5
_cell_length_a 16.730
_cell_length_b 16.730
_cell_length_c 16.730
_cell_angle_alpha 90.00
_cell_angle_beta 90.00
_cell_angle_gamma 90.00
_symmetry_space_group_name_H-M 'I a -3 d'
_symmetry_Int_Tables_number 230
_symmetry_space_group_name_Hall '-I 4bd 2c 3'
loop_
_atom_site_label
_atom_site_fract_x
_atom_site_fract_y
_atom_site_fract_z
In1 0.017 0.072 0.655
Ge1 0.000 0.250 0.125
S1 0.000 0.000 0.000
S2 0.000 0.250 0.375
```

## Properties
Energy relative to the elements, uncorrected: -0.044 eV per atom

***

# 2
Entry from the Alexandria database: a relaxed Pr4Nd8Er3 crystal (PBE).

CIF file:
```
data_Pr4Nd8Er3
_cell_length_a 13.752
_cell_length_b 12.998
_cell_length_c 6.899
_cell_angle_alpha 90.00
_cell_angle_beta 119.97
_cell_angle_gamma 90.00
_symmetry_space_group_name_H-M 'C 1 2/m 1'
_symmetry_Int_Tables_number 12
loop_
_symmetry_equiv_pos_as_xyz
'x,y,z'
'-x,-y,-z'
'-x,y,-z'
'x,-y,z'
'x+1/2,y+1/2,z'
'-x+1/2,-y+1/2,-z'
'-x+1/2,y+1/2,-z'
'x+1/2,-y+1/2,z'
loop_
_atom_site_label
_atom_site_fract_x
_atom_site_fract_y
_atom_site_fract_z
Pr1 0.000 0.000 0.000
Pr2 0.000 0.000 0.500
Pr3 0.250 0.250 0.000
Nd1 0.000 0.255 0.000
Nd2 0.000 0.355 0.500
Nd3 0.225 0.500 0.938
Nd4 0.240 0.500 0.477
Er1 0.000 0.500 0.000
Er2 0.250 0.250 0.500
```

## Properties
Uncorrected energy: -4.3976 eV per atom

***

# 3
Entry from the Alexandria database: a relaxed PrSmHoTm2 crystal (PBE).

CIF file:
```
data_PrSmHoTm2
_cell_length_a 8.387
_cell_length_b 11.494
_cell_length_c 7.175
_cell_angle_alpha 90.00
_cell_angle_beta 90.00
_cell_angle_gamma 90.00
_symmetry_space_group_name_H-M 'C m c m'
_symmetry_Int_Tables_number 63
_symmetry_space_group_name_Hall '-C 2c 2'
loop_
_atom_site_label
_atom_site_fract_x
_atom_site_fract_y
_atom_site_fract_z
Pr1 0.000 0.230 0.250
Sm1 0.000 0.499 0.750
Ho1 0.000 0.219 0.750
Tm1 0.187 0.000 0.000
```

## Properties
Uncorrected energy: -4.2269 eV per atom

***

| no. | M_tot (Bohr magnetons per cell) |
| --- | --- |
| 1 | 0.0 |
| 2 | 0.0 |
| 3 | 0.0 |